The following is a PBE calculation of a geometry-optimized Ac4Te2AsI structure, from the Alexandria database.

```
data_Ac4Te2AsI
_cell_length_a 8.099
_cell_length_b 4.651
_cell_length_c 8.201
_cell_angle_alpha 90.00
_cell_angle_beta 109.03
_cell_angle_gamma 90.00
_symmetry_space_group_name_H-M 'P 1 2/m 1'
_symmetry_Int_Tables_number 10
loop_
_symmetry_equiv_pos_as_xyz
'x,y,z'
'-x,-y,-z'
'-x,y,-z'
'x,-y,z'
loop_
_atom_site_label
_atom_site_fract_x
_atom_site_fract_y
_atom_site_fract_z
Ac1 0.230 0.000 0.223
Ac2 0.245 0.500 0.772
Te1 0.500 0.000 0.000
Te2 0.500 0.500 0.500
As1 0.000 0.500 0.000
I1 0.000 0.000 0.500
```

Calculated values
Raw formation energy   -1042 kJ/mol of formula units
Fermi-level density of states   4.12 states/eV/cell